Density functional theory data (PBE) for a relaxed AgW2Cl crystal.

Computed properties:
uncorrected formation energy: 859 meV per atom
electronic total energy: -6.7922 eV/atom
calculated density: 11.31 g/cm3
energy relative to the lowest polymorph listed for this composition: 13.99 kcal/mol of atoms

```
data_AgW2Cl
_cell_length_a 3.010
_cell_length_b 4.914
_cell_length_c 10.142
_cell_angle_alpha 90.00
_cell_angle_beta 90.00
_cell_angle_gamma 90.00
_symmetry_space_group_name_H-M 'I m m 2'
_symmetry_Int_Tables_number 44
loop_
_symmetry_equiv_pos_as_xyz
'x,y,z'
'-x,-y,z'
'-x,y,z'
'x,-y,z'
'x+1/2,y+1/2,z+1/2'
'-x+1/2,-y+1/2,z+1/2'
'-x+1/2,y+1/2,z+1/2'
'x+1/2,-y+1/2,z+1/2'
loop_
_atom_site_label
_atom_site_fract_x
_atom_site_fract_y
_atom_site_fract_z
_atom_site_occupancy
Ag1 0.000 0.000 0.000 1
W1 0.000 0.000 0.508 1
W2 0.000 0.500 0.196 1
Cl1 0.000 0.500 0.781 1
```


Density functional theory data (PBE) for a relaxed AgWCl crystal.

Computed properties:
uncorrected formation energy: 347 meV per atom
electronic total energy: -5.5363 eV/atom
calculated density: 9.69 g/cm3
energy relative to the lowest polymorph listed for this composition: 0.00 kcal/mol of atoms

```
data_AgWCl
_cell_length_a 2.9966
_cell_length_b 2.9966
_cell_length_c 7.2065
_cell_angle_alpha 90.00
_cell_angle_beta 90.00
_cell_angle_gamma 120.00
_symmetry_space_group_name_H-M 'P 3 m 1'
_symmetry_Int_Tables_number 156
loop_
_symmetry_equiv_pos_as_xyz
'x,y,z'
'-y,x-y,z'
'-x+y,-x,z'
'-y,-x,z'
'-x+y,y,z'
'x,x-y,z'
loop_
_atom_site_label
_atom_site_fract_x
_atom_site_fract_y
_atom_site_fract_z
_atom_site_occupancy
Ag1 0.0000 0.0000 0.0000 1
W1 0.3333 0.6667 0.6813 1
Cl1 0.6667 0.3333 0.4366 1
```